# 1
This record from the Alexandria database describes Sc5InRu4 after structural relaxation. The functional is PBE.

Calculated values
DFT total energy	-77.22	eV for the cell shown
DOS at the Fermi energy	7.38	states/eV/cell
crystal system	tetragonal

Structure (CIF):
```
data_Sc5InRu4
_cell_length_a 3.2528
_cell_length_b 3.2528
_cell_length_c 16.7926
_cell_angle_alpha 90.00
_cell_angle_beta 90.00
_cell_angle_gamma 90.00
_space_group_name_H-M_alt 'P 4/m m m'
_space_group_IT_number 123
_space_group_name_Hall '-P 4 2'
loop_
_atom_site_label
_atom_site_fract_x
_atom_site_fract_y
_atom_site_fract_z
Sc1 0.0000 0.0000 0.0000
Sc2 0.0000 0.0000 0.1869
Sc3 0.0000 0.0000 0.3728
In1 0.5000 0.5000 0.5000
Ru1 0.5000 0.5000 0.0960
Ru2 0.5000 0.5000 0.2885
```

=====

# 2
This record from the Alexandria database describes Sr2ZnSnBi after structural relaxation. The functional is PBE.

Calculated values
DFT total energy	-29.68	eV for the cell shown
DOS at the Fermi energy	6.46	states/eV/cell
crystal system	monoclinic

Structure (CIF):
```
data_Sr2ZnSnBi
_cell_length_a 8.5758
_cell_length_b 4.5130
_cell_length_c 10.0444
_cell_angle_alpha 90.00
_cell_angle_beta 114.88
_cell_angle_gamma 90.00
_space_group_name_H-M_alt 'P 1 21/m 1'
_space_group_IT_number 11
loop_
_space_group_symop_operation_xyz
'x,y,z'
'-x,-y,-z'
'-x,y+1/2,-z'
'x,-y+1/2,z'
loop_
_atom_site_label
_atom_site_fract_x
_atom_site_fract_y
_atom_site_fract_z
Sr1 0.1859 0.2500 0.4635
Sr2 0.2533 0.7500 0.0879
Zn1 0.2559 0.7500 0.7589
Sn1 0.0963 0.2500 0.7915
Bi1 0.4984 0.7500 0.6528
```

=====

# 3
This record from the Alexandria database describes Ca2PaSbS6 after structural relaxation. The functional is PBE.

Calculated values
raw formation energy	-1.219	eV/atom
crystal system	tetragonal

Structure (CIF):
```
data_Ca2PaSbS6
_cell_length_a 7.3839
_cell_length_b 7.3839
_cell_length_c 5.4679
_cell_angle_alpha 90.00
_cell_angle_beta 90.00
_cell_angle_gamma 90.00
_space_group_name_H-M_alt 'P 4 m m'
_space_group_IT_number 99
loop_
_space_group_symop_operation_xyz
'x,y,z'
'-y,x,z'
'-x,-y,z'
'y,-x,z'
'-x,y,z'
'y,x,z'
'x,-y,z'
'-y,-x,z'
loop_
_atom_site_label
_atom_site_fract_x
_atom_site_fract_y
_atom_site_fract_z
Ca1 0.0000 0.5000 0.0000
Pa1 0.0000 0.0000 0.7163
Sb1 0.5000 0.5000 0.6580
S1 0.0000 0.0000 0.2406
S2 0.2468 0.2468 0.7814
S3 0.5000 0.5000 0.2266
```

=====

# 4
This record from the Alexandria database describes ZrSi2Hg after structural relaxation. The functional is PBE.

Calculated values
DOS at the Fermi energy	2.37	states/eV/cell
raw formation energy	0.118	eV/atom
crystal system	tetragonal
energy relative to the lowest polymorph listed for this composition	226	meV per atom

Structure (CIF):
```
data_ZrSi2Hg
_cell_length_a 2.9227
_cell_length_b 2.9227
_cell_length_c 9.3850
_cell_angle_alpha 90.00
_cell_angle_beta 90.00
_cell_angle_gamma 90.00
_space_group_name_H-M_alt 'P 4/m m m'
_space_group_IT_number 123
_space_group_name_Hall '-P 4 2'
loop_
_atom_site_label
_atom_site_fract_x
_atom_site_fract_y
_atom_site_fract_z
Zr1 0.0000 0.0000 0.0000
Si1 0.5000 0.5000 0.2152
Hg1 0.0000 0.0000 0.5000
```

=====

Q: Which magnetic moment values were calculated for the entries above? A: 0.000, 0.000, 0.132, 0.000, in μB per formula unit.